(1)
A plane-wave DFT calculation with GGA-PBE was carried out for an optimized crystal structure of Hf3CdC.

a b c (Å): 4.5138 4.5138 4.5138
angles (deg): 90.00 90.00 90.00
Space group Pm-3m (No. 221)
Symmetry-distinct sites (fractional):
Hf (0.0000, 0.0000, 0.5000)
Cd (0.5000, 0.5000, 0.5000)
C (0.0000, 0.0000, 0.0000)

The total magnetic moment is 0.000 μB per formula unit. Its calculated density is 11.9 g/cm3. Its density of states at the Fermi level is 2.6 states/eV per cell. As for the formation enthalpy at 0 K: -415 meV/atom. The calculation puts the raw total energy at -8.414 eV per atom.

=====

(2)
A plane-wave DFT calculation with GGA-PBE was carried out for an optimized crystal structure of LiPuSn4Pd2.

a b c (Å): 4.6948 4.6948 26.8841
angles (deg): 90.00 90.00 120.00
Space group R-3m (No. 166, hexagonal axes)
Symmetry-distinct sites (fractional):
Li (0.0000, 0.0000, 0.0000)
Pu (0.0000, 0.0000, 0.5000)
Sn (0.0000, 0.0000, 0.1089)
Sn (0.0000, 0.0000, 0.3732)
Pd (0.0000, 0.0000, 0.2652)

The total magnetic moment is 5.597 μB per formula unit. Its calculated density is 9.1 g/cm3. Its density of states at the Fermi level is 38.4 states/eV per cell. As for the formation enthalpy at 0 K: -392 meV/atom. The calculation puts the raw total energy at -5.722 eV per atom.

=====

(3)
A plane-wave DFT calculation with GGA-PBE was carried out for an optimized crystal structure of BaSmDy4S8.

a b c (Å): 8.2417 8.2417 20.3969
angles (deg): 90.00 90.00 120.00
Space group R3m (No. 160, hexagonal axes)
Symmetry-distinct sites (fractional):
Ba (0.0000, 0.0000, 0.0000)
Sm (0.0000, 0.0000, 0.6283)
Dy (0.0000, 0.0000, 0.2516)
Dy (0.1689, 0.3379, 0.4592)
S (0.0000, 0.0000, 0.3836)
S (0.0000, 0.0000, 0.8579)
S (0.0445, 0.5222, 0.3845)
S (0.1744, 0.3488, 0.2059)

The total magnetic moment is 0.000 μB per formula unit. Its calculated density is 5.0 g/cm3. Its density of states at the Fermi level is 10.4 states/eV per cell. The calculation puts the raw total energy at -6.113 eV per atom. The energy relative to the elements, uncorrected is -189.6 kJ per mole of atoms.

=====

(4)
A plane-wave DFT calculation with GGA-PBE was carried out for an optimized crystal structure of RhSe4Cl.

a b c (Å): 7.9047 7.9047 7.9047
angles (deg): 90.00 90.00 90.00
Space group F-43m (No. 216)
Symmetry-distinct sites (fractional):
Rh (0.0000, 0.0000, 0.0000)
Se (0.1249, 0.1249, 0.6249)
Cl (0.2500, 0.2500, 0.2500)

The total magnetic moment is 1.029 μB per formula unit. Its calculated density is 6.1 g/cm3. Its density of states at the Fermi level is 33.4 states/eV per cell. The calculation puts the raw total energy at -3.102 eV per atom. The energy relative to the elements, uncorrected is 72.8 kJ per mole of atoms.

=====

(5)
A plane-wave DFT calculation with GGA-PBE was carried out for an optimized crystal structure of CsGeBiO4.

a b c (Å): 6.3084 6.0554 8.0690
angles (deg): 90.00 109.18 90.00
Space group P2_1/m (No. 11)
Symmetry-distinct sites (fractional):
Cs (0.2004, 0.2500, 0.4506)
Ge (0.2349, 0.7500, 0.1571)
Bi (0.2765, 0.2500, 0.9786)
O (0.0266, 0.7500, 0.9415)
O (0.0703, 0.7500, 0.2957)
O (0.4175, 0.5170, 0.1764)

The total magnetic moment is 0.000 μB per formula unit. Its calculated density is 5.5 g/cm3. Its density of states at the Fermi level is 0.0 states/eV per cell. The calculation puts the raw total energy at -5.732 eV per atom. The energy relative to the elements, uncorrected is -150.8 kJ per mole of atoms.

=====

(6)
A plane-wave DFT calculation with GGA-PBE was carried out for an optimized crystal structure of ReSeCl2.

a b c (Å): 6.7053 6.7053 6.7053
angles (deg): 90.00 90.00 90.00
Space group Fm-3m (No. 225)
Symmetry-distinct sites (fractional):
Re (0.0000, 0.0000, 0.0000)
Se (0.0000, 0.0000, 0.5000)
Cl (0.2500, 0.2500, 0.2500)

The total magnetic moment is 2.701 μB per formula unit. Its calculated density is 7.4 g/cm3. Its density of states at the Fermi level is 9.7 states/eV per cell. The calculation puts the raw total energy at -3.633 eV per atom. The energy relative to the elements, uncorrected is 122.9 kJ per mole of atoms.

=====

(7)
A plane-wave DFT calculation with GGA-PBE was carried out for an optimized crystal structure of MgPtCl2.

a b c (Å): 6.6624 6.6624 6.6624
angles (deg): 90.00 90.00 90.00
Space group F-43m (No. 216)
Symmetry-distinct sites (fractional):
Mg (0.0000, 0.0000, 0.0000)
Pt (0.2500, 0.2500, 0.7500)
Cl (0.0000, 0.0000, 0.5000)
Cl (0.2500, 0.2500, 0.2500)

The total magnetic moment is 0.000 μB per formula unit. Its calculated density is 6.5 g/cm3. Its density of states at the Fermi level is 28.3 states/eV per cell. The calculation puts the raw total energy at -2.888 eV per atom. The energy relative to the elements, uncorrected is -5.4 kJ per mole of atoms.

=====

(8)
A plane-wave DFT calculation with GGA-PBE was carried out for an optimized crystal structure of LaAlCo2.

a b c (Å): 3.0042 3.9183 5.7286
angles (deg): 90.00 90.00 90.00
Space group Pmm2 (No. 25)
Symmetry-distinct sites (fractional):
La (0.0000, 0.0000, 0.0000)
Al (0.5000, 0.5000, 0.3813)
Co (0.0000, 0.0000, 0.5077)
Co (0.5000, 0.5000, 0.7866)

The total magnetic moment is 0.358 μB per formula unit. Its calculated density is 7.0 g/cm3. Its density of states at the Fermi level is 4.4 states/eV per cell. As for the formation enthalpy at 0 K: 136 meV/atom. The calculation puts the raw total energy at -5.585 eV per atom.

=====

(9)
A plane-wave DFT calculation with GGA-PBE was carried out for an optimized crystal structure of Nd4GeRh.

a b c (Å): 9.0225 13.9408 6.2550
angles (deg): 90.00 120.10 90.00
Space group C2/c (No. 15)
Symmetry-distinct sites (fractional):
Nd (0.1222, 0.1866, 0.0872)
Nd (0.2106, 0.4361, 0.3039)
Ge (0.0000, 0.3731, 0.7500)
Rh (0.0000, 0.0011, 0.2500)

The total magnetic moment is 0.000 μB per formula unit. Its calculated density is 7.3 g/cm3. Its density of states at the Fermi level is 21.7 states/eV per cell. As for the formation enthalpy at 0 K: -524 meV/atom. The calculation puts the raw total energy at -5.698 eV per atom.

=====

(10)
A plane-wave DFT calculation with GGA-PBE was carried out for an optimized crystal structure of BiRh2Au2.

a b c (Å): 3.8048 3.8048 13.7115
angles (deg): 90.00 90.00 90.00
Space group I4/mmm (No. 139)
Symmetry-distinct sites (fractional):
Bi (0.0000, 0.0000, 0.0000)
Rh (0.0000, 0.5000, 0.2500)
Au (0.0000, 0.0000, 0.3957)

The total magnetic moment is 0.834 μB per formula unit. Its calculated density is 13.5 g/cm3. Its density of states at the Fermi level is 11.5 states/eV per cell. As for the formation enthalpy at 0 K: 314 meV/atom. The calculation puts the raw total energy at -4.714 eV per atom.

=====

(11)
A plane-wave DFT calculation with GGA-PBE was carried out for an optimized crystal structure of LiSc2Ag.

a b c (Å): 3.4323 3.4323 6.8734
angles (deg): 90.00 90.00 90.00
Space group P4mm (No. 99)
Symmetry-distinct sites (fractional):
Li (0.0000, 0.0000, 0.0000)
Sc (0.0000, 0.0000, 0.5628)
Sc (0.5000, 0.5000, 0.2626)
Ag (0.5000, 0.5000, 0.8124)

The total magnetic moment is 0.700 μB per formula unit. Its calculated density is 4.2 g/cm3. Its density of states at the Fermi level is 3.5 states/eV per cell. As for the formation enthalpy at 0 K: -97 meV/atom. The calculation puts the raw total energy at -4.454 eV per atom.

=====

(12)
A plane-wave DFT calculation with GGA-PBE was carried out for an optimized crystal structure of CrCuPd3.

a b c (Å): 5.0248 7.0872 5.0393
angles (deg): 90.00 119.24 90.00
Space group P2_1/m (No. 11)
Symmetry-distinct sites (fractional):
Cr (0.1583, 0.2500, 0.3368)
Cu (0.3451, 0.7500, 0.1555)
Pd (0.1438, 0.2500, 0.8402)
Pd (0.3422, 0.5630, 0.6660)

The total magnetic moment is 3.442 μB per formula unit. Its calculated density is 9.2 g/cm3. Its density of states at the Fermi level is 13.4 states/eV per cell. As for the formation enthalpy at 0 K: 155 meV/atom. The calculation puts the raw total energy at -5.705 eV per atom.